[1]
Compound: Sc2Ni2W
Source: Alexandria
Functional: PBE
Structure: relaxed

Results
Size of the total moment ... 0.0 μB per formula unit
Energy of formation ... -0.15 eV/atom
ρ ... 7.840 g cm⁻³

Lattice parameters (Å, degrees): 6.3232 6.3232 4.1438 90.00 90.00 90.00
Space group P4/mbm (No. 127)
Inequivalent atoms, fractional coordinates:
Sc 0.1763 0.3237 0.0000
Ni 0.1325 0.6325 0.5000
W 0.0000 0.0000 0.5000



[2]
Compound: YSc3Ni2
Source: Alexandria
Functional: PBE
Structure: relaxed

Results
Size of the total moment ... 0.0 μB per formula unit
Energy of formation ... -0.26 eV/atom
ρ ... 4.685 g cm⁻³
Excess energy over the best structure of this formula in the dataset ... 54 meV per atom

Lattice parameters (Å, degrees): 14.4899 4.7219 7.7285 90.00 113.83 90.00
Space group C2/m (No. 12)
Inequivalent atoms, fractional coordinates:
Y 0.1350 0.0000 0.2147
Sc 0.0680 0.0000 0.7307
Sc 0.1248 0.5000 0.5099
Sc 0.1866 0.5000 0.9873
Ni 0.0004 0.5000 0.1550
Ni 0.2221 0.0000 0.6272



[3]
Compound: YScNi
Source: Alexandria
Functional: PBE
Structure: relaxed

Results
Size of the total moment ... 0.0 μB per formula unit
Energy of formation ... 0.65 eV/atom
ρ ... 4.676 g cm⁻³
Excess energy over the best structure of this formula in the dataset ... 977 meV per atom

Lattice parameters (Å, degrees): 6.4914 6.4914 6.4914 90.00 90.00 90.00
Space group F-43m (No. 216)
Inequivalent atoms, fractional coordinates:
Y 0.0000 0.0000 0.0000
Sc 0.2500 0.2500 0.7500
Ni 0.2500 0.2500 0.2500



[4]
Compound: YScNi2
Source: Alexandria
Functional: PBE
Structure: relaxed

Results
Size of the total moment ... 0.0 μB per formula unit
Energy of formation ... -0.20 eV/atom
ρ ... 5.485 g cm⁻³

Lattice parameters (Å, degrees): 3.6317 3.6317 5.7673 90.00 90.00 90.00
Space group P4mm (No. 99)
Inequivalent atoms, fractional coordinates:
Y 0.0000 0.0000 0.0000
Sc 0.5000 0.5000 0.6044
Ni 0.0000 0.0000 0.4880
Ni 0.5000 0.5000 0.1595